--- A ---
Here is a relaxed structure of ScNiSbI2 from the Alexandria database. Energies are from PBE.

Output
- space group = P4/mmm (123)
- total magnetization (μB/atom) = 0.000
- density (g/cm3) = 5.78

Unit cell a=5.123 b=5.123 c=5.246 alpha=90.00 beta=90.00 gamma=90.00
Atoms (fractional coordinates):
I: 0.000 0.500 0.000
I: 0.500 0.000 0.000
Sc: 0.500 0.500 0.500
Ni: 0.000 0.000 0.000
Sb: 0.000 0.000 0.500

--- B ---
Here is a relaxed structure of ScNiSbI2 from the Alexandria database. Energies are from PBE.

Output
- space group = P4/mmm (123)
- total magnetization (μB/atom) = 0.264
- density (g/cm3) = 4.42

Unit cell a=5.551 b=5.551 c=5.845 alpha=90.00 beta=90.00 gamma=90.00
Atoms (fractional coordinates):
I: 0.500 0.000 0.000
I: 0.000 0.500 0.000
Ni: 0.500 0.500 0.500
Sb: 0.000 0.000 0.500
Sc: 0.000 0.000 0.000

So which one is most stable? That would be A, about 0.206 eV/atom below the next structure.

--- A ---
Here is a relaxed structure of NiSbSeI2 from the Alexandria database. Energies are from PBE.

Output
- space group = P4/mmm (123)
- total magnetization (μB/atom) = 0.000
- density (g/cm3) = 6.28

Unit cell a=5.130 b=5.130 c=5.154 alpha=90.00 beta=90.00 gamma=90.00
Atoms (fractional coordinates):
Se: 0.500 0.500 0.500
I: 0.000 0.500 0.000
I: 0.500 0.000 0.000
Sb: 0.000 0.000 0.500
Ni: 0.000 0.000 0.000

--- B ---
Here is a relaxed structure of NiSbSeI2 from the Alexandria database. Energies are from PBE.

Output
- space group = P4/mmm (123)
- total magnetization (μB/atom) = 0.346
- density (g/cm3) = 4.67

Unit cell a=5.768 b=5.768 c=5.484 alpha=90.00 beta=90.00 gamma=90.00
Atoms (fractional coordinates):
I: 0.500 0.000 0.000
I: 0.000 0.500 0.000
Ni: 0.500 0.500 0.500
Se: 0.000 0.000 0.000
Sb: 0.000 0.000 0.500

So which one is most stable? That would be A, about 0.642 eV/atom below the next structure.

--- A ---
Here is a relaxed structure of SiNiSb2I from the Alexandria database. Energies are from PBE.

Output
- space group = P4/mmm (123)
- total magnetization (μB/atom) = 0.000
- density (g/cm3) = 5.82

Unit cell a=4.922 b=4.922 c=5.390 alpha=90.00 beta=90.00 gamma=90.00
Atoms (fractional coordinates):
I: 0.000 0.000 0.500
Sb: 0.500 0.000 0.000
Sb: 0.000 0.500 0.000
Ni: 0.000 0.000 0.000
Si: 0.500 0.500 0.500

--- B ---
Here is a relaxed structure of SiNiSb2I from the Alexandria database. Energies are from PBE.

Output
- space group = P4/mmm (123)
- total magnetization (μB/atom) = 0.107
- density (g/cm3) = 5.23

Unit cell a=5.208 b=5.208 c=5.351 alpha=90.00 beta=90.00 gamma=90.00
Atoms (fractional coordinates):
Sb: 0.500 0.000 0.000
Sb: 0.000 0.500 0.000
I: 0.000 0.000 0.500
Ni: 0.500 0.500 0.500
Si: 0.000 0.000 0.000

So which one is most stable? That would be A, about 0.402 eV/atom below the next structure.

--- A ---
Here is a relaxed structure of TaNiSb2I from the Alexandria database. Energies are from PBE.

Output
- space group = P4/mmm (123)
- total magnetization (μB/atom) = 0.327
- density (g/cm3) = 8.22

Unit cell a=4.913 b=4.913 c=5.109 alpha=90.00 beta=90.00 gamma=90.00
Atoms (fractional coordinates):
I: 0.000 0.000 0.500
Ni: 0.000 0.000 0.000
Sb: 0.500 0.000 0.000
Sb: 0.000 0.500 0.000
Ta: 0.500 0.500 0.500

--- B ---
Here is a relaxed structure of TaNiSb2I from the Alexandria database. Energies are from PBE.

Output
- space group = P4/mmm (123)
- total magnetization (μB/atom) = 0.239
- density (g/cm3) = 6.40

Unit cell a=5.362 b=5.362 c=5.506 alpha=90.00 beta=90.00 gamma=90.00
Atoms (fractional coordinates):
Ta: 0.000 0.000 0.000
Sb: 0.000 0.500 0.000
Sb: 0.500 0.000 0.000
Ni: 0.500 0.500 0.500
I: 0.000 0.000 0.500

So which one is most stable? That would be A, about 0.030 eV/atom below the next structure.

--- A ---
Here is a relaxed structure of NiSbTe2I from the Alexandria database. Energies are from PBE.

Output
- space group = P4/mmm (123)
- total magnetization (μB/atom) = 0.277
- density (g/cm3) = 4.76

Unit cell a=5.781 b=5.781 c=5.870 alpha=90.00 beta=90.00 gamma=90.00
Atoms (fractional coordinates):
I: 0.000 0.000 0.500
Te: 0.000 0.500 0.000
Te: 0.500 0.000 0.000
Sb: 0.000 0.000 0.000
Ni: 0.500 0.500 0.500

--- B ---
Here is a relaxed structure of NiSbTe2I from the Alexandria database. Energies are from PBE.

Output
- space group = P4/mmm (123)
- total magnetization (μB/atom) = 0.371
- density (g/cm3) = 4.79

Unit cell a=5.765 b=5.765 c=5.868 alpha=90.00 beta=90.00 gamma=90.00
Atoms (fractional coordinates):
Sb: 0.000 0.000 0.500
Te: 0.000 0.500 0.000
Te: 0.500 0.000 0.000
I: 0.000 0.000 0.000
Ni: 0.500 0.500 0.500

--- C ---
Here is a relaxed structure of NiSbTe2I from the Alexandria database. Energies are from PBE.

Output
- space group = P4/mmm (123)
- total magnetization (μB/atom) = 0.000
- density (g/cm3) = 6.92

Unit cell a=5.104 b=5.104 c=5.179 alpha=90.00 beta=90.00 gamma=90.00
Atoms (fractional coordinates):
Sb: 0.500 0.500 0.500
Te: 0.500 0.000 0.000
Te: 0.000 0.500 0.000
Ni: 0.000 0.000 0.000
I: 0.000 0.000 0.500

--- D ---
Here is a relaxed structure of NiSbTe2I from the Alexandria database. Energies are from PBE.

Output
- space group = P4/mmm (123)
- total magnetization (μB/atom) = 0.000
- density (g/cm3) = 7.01

Unit cell a=5.091 b=5.091 c=5.140 alpha=90.00 beta=90.00 gamma=90.00
Atoms (fractional coordinates):
Sb: 0.000 0.000 0.500
Te: 0.500 0.000 0.000
Te: 0.000 0.500 0.000
I: 0.500 0.500 0.500
Ni: 0.000 0.000 0.000

So which one is most stable? That would be C, about 0.019 eV/atom below the next structure.

--- A ---
Here is a relaxed structure of NiSbTeI2 from the Alexandria database. Energies are from PBE.

Output
- space group = P4/mmm (123)
- total magnetization (μB/atom) = 0.000
- density (g/cm3) = 6.68

Unit cell a=5.148 b=5.148 c=5.269 alpha=90.00 beta=90.00 gamma=90.00
Atoms (fractional coordinates):
I: 0.500 0.000 0.000
I: 0.000 0.500 0.000
Sb: 0.500 0.500 0.500
Te: 0.000 0.000 0.500
Ni: 0.000 0.000 0.000

--- B ---
Here is a relaxed structure of NiSbTeI2 from the Alexandria database. Energies are from PBE.

Output
- space group = P4/mmm (123)
- total magnetization (μB/atom) = 0.269
- density (g/cm3) = 4.51

Unit cell a=5.943 b=5.943 c=5.854 alpha=90.00 beta=90.00 gamma=90.00
Atoms (fractional coordinates):
Sb: 0.000 0.000 0.000
Ni: 0.500 0.500 0.500
I: 0.500 0.000 0.000
I: 0.000 0.500 0.000
Te: 0.000 0.000 0.500

--- C ---
Here is a relaxed structure of NiSbTeI2 from the Alexandria database. Energies are from PBE.

Output
- space group = P4/mmm (123)
- total magnetization (μB/atom) = 0.404
- density (g/cm3) = 4.42

Unit cell a=5.897 b=5.897 c=6.068 alpha=90.00 beta=90.00 gamma=90.00
Atoms (fractional coordinates):
Te: 0.000 0.000 0.000
I: 0.000 0.500 0.000
I: 0.500 0.000 0.000
Sb: 0.000 0.000 0.500
Ni: 0.500 0.500 0.500

So which one is most stable? That would be A, about 0.551 eV/atom below the next structure.

--- A ---
Here is a relaxed structure of VNiSbI2 from the Alexandria database. Energies are from PBE.

Output
- space group = P4/mmm (123)
- total magnetization (μB/atom) = 0.613
- density (g/cm3) = 5.19

Unit cell a=5.402 b=5.402 c=5.320 alpha=90.00 beta=90.00 gamma=90.00
Atoms (fractional coordinates):
Sb: 0.000 0.000 0.500
Ni: 0.500 0.500 0.500
I: 0.000 0.500 0.000
I: 0.500 0.000 0.000
V: 0.000 0.000 0.000

--- B ---
Here is a relaxed structure of VNiSbI2 from the Alexandria database. Energies are from PBE.

Output
- space group = P4/mmm (123)
- total magnetization (μB/atom) = 0.736
- density (g/cm3) = 5.79

Unit cell a=5.347 b=5.347 c=4.871 alpha=90.00 beta=90.00 gamma=90.00
Atoms (fractional coordinates):
Ni: 0.000 0.000 0.000
I: 0.500 0.000 0.000
I: 0.000 0.500 0.000
V: 0.500 0.500 0.500
Sb: 0.000 0.000 0.500

So which one is most stable? That would be B, about 0.123 eV/atom below the next structure.

--- A ---
Here is a relaxed structure of NiSb2WI from the Alexandria database. Energies are from PBE.

Output
- space group = P4/mmm (123)
- total magnetization (μB/atom) = 0.280
- density (g/cm3) = 6.62

Unit cell a=5.165 b=5.165 c=5.765 alpha=90.00 beta=90.00 gamma=90.00
Atoms (fractional coordinates):
Sb: 0.000 0.500 0.000
Sb: 0.500 0.000 0.000
Ni: 0.500 0.500 0.500
I: 0.000 0.000 0.500
W: 0.000 0.000 0.000

--- B ---
Here is a relaxed structure of NiSb2WI from the Alexandria database. Energies are from PBE.

Output
- space group = P4/mmm (123)
- total magnetization (μB/atom) = 0.556
- density (g/cm3) = 8.21

Unit cell a=4.897 b=4.897 c=5.171 alpha=90.00 beta=90.00 gamma=90.00
Atoms (fractional coordinates):
Sb: 0.000 0.500 0.000
Sb: 0.500 0.000 0.000
W: 0.500 0.500 0.500
I: 0.000 0.000 0.500
Ni: 0.000 0.000 0.000

So which one is most stable? That would be A, about 0.044 eV/atom below the next structure.

--- A ---
Here is a relaxed structure of ScNi2I from the Alexandria database. Energies are from PBE.

Output
- space group = Fm-3m (225)
- total magnetization (μB/atom) = 0.000
- density (g/cm3) = 7.14

Unit cell a=4.566 b=4.566 c=4.566 alpha=60.00 beta=60.00 gamma=60.00
Atoms (fractional coordinates):
Sc: 0.000 0.000 0.000
Ni: 0.250 0.250 0.250
Ni: 0.750 0.750 0.750
I: 0.500 0.500 0.500

--- B ---
Here is a relaxed structure of ScNi2I from the Alexandria database. Energies are from PBE.

Output
- space group = I-42d (122)
- total magnetization (μB/atom) = 0.000
- density (g/cm3) = 6.51

Unit cell a=4.215 b=4.215 c=8.826 alpha=76.18 beta=76.18 gamma=90.00
Atoms (fractional coordinates):
Ni: 0.160 0.625 0.250
Ni: 0.875 0.840 0.750
Ni: 0.590 0.125 0.250
Ni: 0.375 0.410 0.750
I: 0.000 0.000 0.000
I: 0.750 0.250 0.500
Sc: 0.250 0.750 0.500
Sc: 0.500 0.500 0.000

So which one is most stable? That would be A, about 0.070 eV/atom below the next structure.

--- A ---
Here is a relaxed structure of NiSeI3 from the Alexandria database. Energies are from PBE.

Output
- space group = P2/c (13)
- total magnetization (μB/atom) = 0.000
- density (g/cm3) = 4.53

Unit cell a=6.982 b=7.972 c=13.656 alpha=90.00 beta=92.07 gamma=90.00
Atoms (fractional coordinates):
I: 0.154 0.345 0.539
I: 0.846 0.655 0.461
I: 0.254 0.468 0.274
I: 0.349 0.845 0.546
I: 0.154 0.655 0.039
I: 0.254 0.532 0.774
I: 0.651 0.845 0.954
I: 0.746 0.532 0.726
I: 0.746 0.468 0.226
I: 0.846 0.345 0.961
I: 0.651 0.155 0.454
I: 0.349 0.155 0.046
Se: 0.024 0.905 0.666
Se: 0.976 0.905 0.834
Se: 0.024 0.095 0.166
Se: 0.976 0.095 0.334
Ni: 0.938 0.376 0.382
Ni: 0.938 0.624 0.882
Ni: 0.062 0.624 0.618
Ni: 0.062 0.376 0.118

--- B ---
Here is a relaxed structure of NiSeI3 from the Alexandria database. Energies are from PBE.

Output
- space group = Pm-3m (221)
- total magnetization (μB/atom) = 0.000
- density (g/cm3) = 6.05

Unit cell a=5.222 b=5.222 c=5.222 alpha=90.00 beta=90.00 gamma=90.00
Atoms (fractional coordinates):
I: 0.500 0.000 0.000
I: 0.000 0.500 0.000
I: 0.000 0.000 0.500
Se: 0.500 0.500 0.500
Ni: 0.000 0.000 0.000

So which one is most stable? That would be A, about 0.445 eV/atom below the next structure.

--- A ---
Here is a relaxed structure of NiSe2I2 from the Alexandria database. Energies are from PBE.

Output
- space group = C2/m (12)
- total magnetization (μB/atom) = 0.000
- density (g/cm3) = 4.22

Unit cell a=8.701 b=6.953 c=10.608 alpha=65.09 beta=47.70 gamma=51.26
Atoms (fractional coordinates):
I: 0.123 0.384 0.238
I: 0.507 0.616 0.238
I: 0.877 0.616 0.762
I: 0.493 0.384 0.762
Se: 0.288 0.000 0.915
Se: 0.712 0.000 0.085
Se: 0.147 0.000 0.786
Se: 0.853 0.000 0.214
Ni: 0.148 0.704 0.000
Ni: 0.852 0.296 0.000

--- B ---
Here is a relaxed structure of NiSe2I2 from the Alexandria database. Energies are from PBE.

Output
- space group = P4/mbm (127)
- total magnetization (μB/atom) = 0.000
- density (g/cm3) = 5.99

Unit cell a=6.728 b=6.728 c=5.765 alpha=90.00 beta=90.00 gamma=90.00
Atoms (fractional coordinates):
I: 0.818 0.318 0.500
I: 0.182 0.682 0.500
I: 0.682 0.818 0.500
I: 0.318 0.182 0.500
Se: 0.321 0.179 0.000
Se: 0.679 0.821 0.000
Se: 0.821 0.321 0.000
Se: 0.179 0.679 0.000
Ni: 0.000 0.000 0.000
Ni: 0.500 0.500 0.000

So which one is most stable? That would be A, about 0.247 eV/atom below the next structure.